DFT (PBE with a Hubbard U) results for a geometry-optimized TcW3O structure.

```
TcW3O
1.0
4.8955 0.0000 0.0000
0.0000 4.8955 0.0000
0.0000 0.0000 4.8955
W O Tc
3 1 1
direct
0.0000 0.0000 0.5000
0.5000 0.0000 0.0000
0.0000 0.5000 0.0000
0.5000 0.5000 0.5000
0.0000 0.0000 0.0000
```

Results
calculated total energy: -24.25 eV for the cell shown
symmetry: Pm-3m (221)
relative energy among the computed polymorphs: 1903 meV/atom